[1]
The following is a PBE calculation of crystalline Zr3BiPd at its relaxed geometry, from Alexandria.

calculated formation energy	1.184	eV per atom
calculated total energy	-5.76	eV/atom
magnetization	0.00	μB/f.u.
excess energy over the best structure of this formula in the dataset	1017	meV/atom

Structure (CIF):
```
data_Zr3BiPd
_symmetry_space_group_name_H-M 'P 1'
_symmetry_Int_Tables_number 1
_symmetry_space_group_name_Hall 'P 1'
_cell_length_a 5.351
_cell_length_b 5.351
_cell_length_c 5.351
_cell_angle_alpha 90.00
_cell_angle_beta 90.00
_cell_angle_gamma 90.00
loop_
_atom_site_label
_atom_site_type_symbol
_atom_site_fract_x
_atom_site_fract_y
_atom_site_fract_z
Zr1 Zr 0.000 0.500 0.000
Zr2 Zr 0.500 0.000 0.000
Bi1 Bi 0.000 0.000 0.000
Pd1 Pd 0.500 0.500 0.500
Zr3 Zr 0.000 0.000 0.500
```

***

[2]
The following is a PBE calculation of crystalline BeHgPt3 at its relaxed geometry, from Alexandria.

calculated formation energy	-0.148	eV per atom
calculated total energy	-4.58	eV/atom
magnetization	0.00	μB/f.u.
excess energy over the best structure of this formula in the dataset	156	meV/atom

Structure (CIF):
```
data_BeHgPt3
_symmetry_space_group_name_H-M 'P 1'
_symmetry_Int_Tables_number 1
_symmetry_space_group_name_Hall 'P 1'
_cell_length_a 17.371
_cell_length_b 6.124
_cell_length_c 7.339
_cell_angle_alpha 90.00
_cell_angle_beta 155.46
_cell_angle_gamma 90.00
loop_
_atom_site_label
_atom_site_type_symbol
_atom_site_fract_x
_atom_site_fract_y
_atom_site_fract_z
Pt1 Pt 0.756 0.653 0.183
Hg1 Hg 0.382 0.744 0.305
Pt2 Pt 0.636 0.797 0.572
Pt3 Pt 0.136 0.703 0.072
Hg2 Hg 0.882 0.756 0.805
Be1 Be 0.564 0.451 0.994
Hg3 Hg 0.618 0.256 0.695
Pt4 Pt 0.500 0.798 0.913
Hg4 Hg 0.118 0.244 0.195
Be2 Be 0.936 0.951 0.506
Pt5 Pt 0.864 0.297 0.928
Be3 Be 0.064 0.049 0.494
Pt6 Pt 0.500 0.202 0.087
Pt7 Pt 0.000 0.298 0.587
Pt8 Pt 0.744 0.153 0.317
Be4 Be 0.436 0.549 0.006
Pt9 Pt 0.364 0.203 0.428
Pt10 Pt 0.000 0.702 0.413
Pt11 Pt 0.256 0.847 0.683
Pt12 Pt 0.244 0.347 0.817
```

***

[3]
The following is a PBE calculation of crystalline K2InCl5 at its relaxed geometry, from Alexandria.

calculated total energy	-3.31	eV/atom
raw formation energy	-1540	meV per atom
magnetization	0.00	μB/f.u.

Structure (CIF):
```
data_K2InCl5
_symmetry_space_group_name_H-M 'P 1'
_symmetry_Int_Tables_number 1
_symmetry_space_group_name_Hall 'P 1'
_cell_length_a 10.256
_cell_length_b 9.585
_cell_length_c 12.408
_cell_angle_alpha 90.00
_cell_angle_beta 90.00
_cell_angle_gamma 90.00
loop_
_atom_site_label
_atom_site_type_symbol
_atom_site_fract_x
_atom_site_fract_y
_atom_site_fract_z
Cl1 Cl 0.698 0.808 0.376
K1 K 0.247 0.500 0.500
Cl2 Cl 0.000 0.146 0.403
Cl3 Cl 0.000 0.509 0.670
Cl4 Cl 0.302 0.192 0.624
Cl5 Cl 0.500 0.354 0.903
Cl6 Cl 0.000 0.006 0.145
K2 K 0.753 0.500 0.500
Cl7 Cl 0.500 0.009 0.830
Cl8 Cl 0.500 0.494 0.645
Cl9 Cl 0.302 0.808 0.376
Cl10 Cl 0.000 0.854 0.597
Cl11 Cl 0.500 0.646 0.097
In1 In 0.500 0.758 0.275
Cl12 Cl 0.000 0.491 0.330
In2 In 0.500 0.242 0.725
Cl13 Cl 0.500 0.991 0.170
Cl14 Cl 0.000 0.994 0.855
K3 K 0.500 0.321 0.159
Cl15 Cl 0.198 0.692 0.876
Cl16 Cl 0.802 0.308 0.124
K4 K 0.253 0.000 0.000
K5 K 0.000 0.821 0.341
Cl17 Cl 0.198 0.308 0.124
Cl18 Cl 0.500 0.506 0.355
In3 In 0.000 0.258 0.225
K6 K 0.500 0.679 0.841
Cl19 Cl 0.698 0.192 0.624
K7 K 0.000 0.179 0.659
In4 In 0.000 0.742 0.775
K8 K 0.747 0.000 0.000
Cl20 Cl 0.802 0.692 0.876
```

***

[4]
The following is a PBE calculation of crystalline PrThSn2 at its relaxed geometry, from Alexandria.

calculated formation energy	-0.392	eV per atom
calculated total energy	-5.44	eV/atom
magnetization	0.00	μB/f.u.
excess energy over the best structure of this formula in the dataset	270	meV/atom

Structure (CIF):
```
data_PrThSn2
_symmetry_space_group_name_H-M 'P 1'
_symmetry_Int_Tables_number 1
_symmetry_space_group_name_Hall 'P 1'
_cell_length_a 3.575
_cell_length_b 3.575
_cell_length_c 10.944
_cell_angle_alpha 80.60
_cell_angle_beta 80.60
_cell_angle_gamma 60.00
loop_
_atom_site_label
_atom_site_type_symbol
_atom_site_fract_x
_atom_site_fract_y
_atom_site_fract_z
Th1 Th 0.500 0.500 0.500
Sn1 Sn 0.250 0.250 0.250
Pr1 Pr 0.000 0.000 0.000
Sn2 Sn 0.750 0.750 0.750
```

***

[5]
The following is a PBE calculation of crystalline NaBiPt2O8 at its relaxed geometry, from Alexandria.

calculated total energy	-4.87	eV/atom
raw formation energy	-126	meV per atom
magnetization	0.00	μB/f.u.

Structure (CIF):
```
data_NaBiPt2O8
_symmetry_space_group_name_H-M 'P 1'
_symmetry_Int_Tables_number 1
_symmetry_space_group_name_Hall 'P 1'
_cell_length_a 5.456
_cell_length_b 5.456
_cell_length_c 5.788
_cell_angle_alpha 90.00
_cell_angle_beta 90.00
_cell_angle_gamma 120.00
loop_
_atom_site_label
_atom_site_type_symbol
_atom_site_fract_x
_atom_site_fract_y
_atom_site_fract_z
Na1 Na 0.000 0.000 0.000
Pt1 Pt 0.333 0.667 0.948
O1 O 0.333 0.667 0.608
O2 O 0.381 0.330 0.830
O3 O 0.330 0.949 0.170
O4 O 0.619 0.670 0.170
O5 O 0.051 0.381 0.170
Bi1 Bi 0.000 0.000 0.500
Pt2 Pt 0.667 0.333 0.052
O6 O 0.670 0.051 0.830
O7 O 0.949 0.619 0.830
O8 O 0.667 0.333 0.392
```

***

[6]
The following is a PBE calculation of crystalline Na2Sn3Pb2 at its relaxed geometry, from Alexandria.

calculated formation energy	-0.103	eV per atom
calculated total energy	-3.25	eV/atom
magnetization	0.00	μB/f.u.
excess energy over the best structure of this formula in the dataset	0	meV/atom

Structure (CIF):
```
data_Na2Sn3Pb2
_symmetry_space_group_name_H-M 'P 1'
_symmetry_Int_Tables_number 1
_symmetry_space_group_name_Hall 'P 1'
_cell_length_a 4.941
_cell_length_b 6.025
_cell_length_c 7.373
_cell_angle_alpha 93.13
_cell_angle_beta 90.00
_cell_angle_gamma 114.21
loop_
_atom_site_label
_atom_site_type_symbol
_atom_site_fract_x
_atom_site_fract_y
_atom_site_fract_z
Sn1 Sn 0.627 0.254 0.415
Sn2 Sn 0.500 0.000 0.000
Na1 Na 0.085 0.170 0.716
Pb1 Pb 0.206 0.413 0.167
Sn3 Sn 0.373 0.746 0.585
Na2 Na 0.915 0.830 0.284
Pb2 Pb 0.794 0.587 0.833
```